Entry 1:
! KPu2SbO8, relaxed, DFT PBE; values from VASP
! total energy: -8.233 eV/atom
! N(E_F): 3.36 states/eV/cell
! ΔE_f (raw): -25.25 eV/f.u.
&SYSTEM
  ibrav = 0, nat = 12, ntyp = 4
/
ATOMIC_SPECIES
O 16.00 O.upf
Pu 244.00 Pu.upf
K 39.10 K.upf
Sb 121.76 Sb.upf
CELL_PARAMETERS angstrom
-3.362 -0.027 3.970
-0.503 -5.164 -0.213
5.290 -0.701 4.475
ATOMIC_POSITIONS angstrom
O -1.192 -1.593 1.160
Pu -0.625 -2.769 2.985
O 1.336 -2.100 3.511
Pu 2.049 -3.123 5.247
O 0.087 -3.792 4.721
K 2.645 -0.350 2.238
O -1.521 -1.373 4.012
O 2.945 -4.520 4.220
O 1.398 -1.760 6.481
Sb 0.000 0.000 0.000
O 2.616 -4.300 7.073
O 0.026 -4.133 1.751

---

Entry 2:
! AgHgPSe2, relaxed, DFT PBE; values from VASP
! total energy: -2.124 eV/atom
! N(E_F): 3.95 states/eV/cell
! ΔE_f (raw): 4.91 eV/f.u.
&SYSTEM
  ibrav = 0, nat = 5, ntyp = 4
/
ATOMIC_SPECIES
Ag 107.87 Ag.upf
Hg 200.59 Hg.upf
P 30.97 P.upf
Se 78.96 Se.upf
CELL_PARAMETERS angstrom
-4.393 2.986 -0.764
-1.086 -0.379 4.769
2.844 4.440 1.000
ATOMIC_POSITIONS angstrom
Ag -1.318 3.523 2.503
Hg 0.000 0.000 0.000
P -0.543 -0.189 2.385
Se 1.422 2.220 0.500
Se -2.197 1.493 -0.382

---

Entry 3:
! Sr2CoSe, relaxed, DFT PBE; values from VASP
! total energy: -4.000 eV/atom
! N(E_F): 2.68 states/eV/cell
! ΔE_f (raw): -2.05 eV/f.u.
&SYSTEM
  ibrav = 0, nat = 4, ntyp = 3
/
ATOMIC_SPECIES
Se 78.96 Se.upf
Co 58.93 Co.upf
Sr 87.62 Sr.upf
CELL_PARAMETERS angstrom
-5.763 -2.609 -4.972
-2.285 -4.991 -5.882
-4.757 -5.991 -2.492
ATOMIC_POSITIONS angstrom
Se -9.604 -10.193 -10.010
Co -3.201 -3.398 -3.337
Sr -0.031 -0.033 -0.032
Sr -6.372 -6.763 -6.641

---

Entry 4:
! Hf2Zr2Al4Pd, relaxed, DFT PBE; values from VASP
! total energy: -6.629 eV/atom
! N(E_F): 5.23 states/eV/cell
! energy of formation from the pure elements: -0.277 eV per atom
&SYSTEM
  ibrav = 0, nat = 9, ntyp = 4
/
ATOMIC_SPECIES
Pd 106.42 Pd.upf
Al 26.98 Al.upf
Zr 91.22 Zr.upf
Hf 178.49 Hf.upf
CELL_PARAMETERS angstrom
6.369 -0.190 -0.275
-3.224 5.496 0.275
-3.224 -1.674 5.242
ATOMIC_POSITIONS angstrom
Pd 0.000 0.000 0.000
Al -3.224 3.491 1.663
Al 1.759 0.962 1.389
Al -1.838 2.670 3.853
Zr -0.040 0.023 3.863
Al -3.224 0.331 3.853
Hf -1.762 1.044 1.507
Hf -4.687 2.778 4.009
Zr -0.040 3.608 1.379

---

What did the third record say?
! Sr2CoSe, relaxed, DFT PBE; values from VASP
! total energy: -4.000 eV/atom
! N(E_F): 2.68 states/eV/cell
! ΔE_f (raw): -2.05 eV/f.u.
&SYSTEM
  ibrav = 0, nat = 4, ntyp = 3
/
ATOMIC_SPECIES
Se 78.96 Se.upf
Co 58.93 Co.upf
Sr 87.62 Sr.upf
CELL_PARAMETERS angstrom
-5.763 -2.609 -4.972
-2.285 -4.991 -5.882
-4.757 -5.991 -2.492
ATOMIC_POSITIONS angstrom
Se -9.604 -10.193 -10.010
Co -3.201 -3.398 -3.337
Sr -0.031 -0.033 -0.032
Sr -6.372 -6.763 -6.641

---

Which value of N(E_F) does entry 3 give?
2.68 states/eV/cell

---

What did the third record say?
! Sr2CoSe, relaxed, DFT PBE; values from VASP
! total energy: -4.000 eV/atom
! N(E_F): 2.68 states/eV/cell
! ΔE_f (raw): -2.05 eV/f.u.
&SYSTEM
  ibrav = 0, nat = 4, ntyp = 3
/
ATOMIC_SPECIES
Se 78.96 Se.upf
Co 58.93 Co.upf
Sr 87.62 Sr.upf
CELL_PARAMETERS angstrom
-5.763 -2.609 -4.972
-2.285 -4.991 -5.882
-4.757 -5.991 -2.492
ATOMIC_POSITIONS angstrom
Se -9.604 -10.193 -10.010
Co -3.201 -3.398 -3.337
Sr -0.031 -0.033 -0.032
Sr -6.372 -6.763 -6.641

---

The highest total energy belongs to which entry?
AgHgPSe2